The following is a PBE-GGA calculation of YIn2IrRu after structural relaxation, from the Alexandria database.

Structure (POSCAR):
```
YIn2IrRu
1.0
-1.2273 -5.1855 -1.9351
2.2889 -1.9865 3.8715
-4.8650 0.0656 2.9099
Y Ru Ir In
1 1 1 2
Direct
0.0000 0.0000 0.0000
0.5000 0.5000 0.5000
0.0000 0.5000 0.0000
0.0000 0.0000 0.5000
0.5000 0.0000 0.0000
```

Total moment: 2.6 μB/f.u.
Fermi-level density of states: 4.91 states/eV per cell
Formation energy: 8.5 eV/f.u.

---

The following is a PBE-GGA calculation of ZnSiHg2 after structural relaxation, from the Alexandria database.

Structure (POSCAR):
```
ZnSiHg2
1.0
4.5352 -0.0087 0.0289
3.2610 3.1518 0.0289
1.3463 0.5428 5.7652
Hg Si Zn
2 1 1
Direct
0.9993 0.9993 0.0010
0.5007 0.5007 0.4990
0.7500 0.7500 0.7500
0.2500 0.2500 0.2500
```

Total moment: 0.0 μB/f.u.
ΔE_f (raw): 0.331 eV per atom
Fermi-level density of states: 1.26 states/eV per cell
Energy above the most stable polymorph in this dataset: 93 meV/atom

---

The following is a PBE-GGA calculation of TbPrTm2P4 after structural relaxation, from the Alexandria database.

Structure (POSCAR):
```
TbPrTm2P4
1.0
4.0367 0.0000 0.0000
0.0000 6.9814 -0.1357
0.0000 2.4581 6.5413
Tb Pr Tm P
1 1 2 4
Direct
0.0000 0.5000 0.5000
0.5000 0.5000 0.0000
0.0000 0.0000 0.0000
0.5000 0.0000 0.5000
0.0000 0.7620 0.7412
0.0000 0.2380 0.2588
0.5000 0.7585 0.2518
0.5000 0.2415 0.7482
```

Total moment: 0.0 μB/f.u.
Fermi-level density of states: 0.83 states/eV per cell
Formation energy: -12.6 eV/f.u.

---

The following is a PBE-GGA calculation of FeSb3 after structural relaxation, from the Alexandria database.

Structure (POSCAR):
```
FeSb3
1.0
5.1368 0.0000 0.0000
0.0000 5.1368 0.0000
0.0000 0.0000 3.5646
Fe Sb
1 3
Direct
0.0000 0.0000 0.0000
0.5000 0.0000 0.5000
0.5000 0.5000 0.0000
0.0000 0.5000 0.5000
```

Total moment: 2.9 μB/f.u.
ΔE_f (raw): 0.564 eV per atom
Fermi-level density of states: 4.11 states/eV per cell
Energy above the most stable polymorph in this dataset: 590 meV/atom

---

The following is a PBE-GGA calculation of Pr2SmY3 after structural relaxation, from the Alexandria database.

Structure (POSCAR):
```
Pr2SmY3
1.0
3.4398 0.0000 0.0000
0.0000 6.7168 0.0000
0.0000 0.0000 17.8331
Pr Sm Y
4 2 6
Direct
0.5000 0.7659 0.1509
0.0000 0.2659 0.3491
0.0000 0.7341 0.6509
0.5000 0.2341 0.8491
0.0000 0.0000 0.5000
0.5000 0.5000 0.0000
0.0000 0.0000 0.0000
0.5000 0.5000 0.5000
0.5000 0.7389 0.8218
0.5000 0.2611 0.1782
0.0000 0.2389 0.6782
0.0000 0.7611 0.3218
```

Total moment: 0.0 μB/f.u.
Fermi-level density of states: 18.70 states/eV per cell
Energy above the most stable polymorph in this dataset: 182 meV/atom
Formation energy: 1.5 eV/f.u.

---

The following is a PBE-GGA calculation of Er2Rh3Pb3 after structural relaxation, from the Alexandria database.

Structure (POSCAR):
```
Er2Rh3Pb3
1.0
-4.0116 -4.6526 1.5751
1.8956 -3.9378 -6.8039
6.1175 -5.2884 -0.0404
Er Rh Pb
4 6 6
Direct
0.0000 0.3333 0.3333
0.5000 0.6667 0.6667
0.0000 0.6667 0.6667
0.5000 0.3333 0.3333
0.7500 0.0000 0.6093
0.7500 0.6093 0.3907
0.7500 0.3907 0.0000
0.2500 0.0000 0.3907
0.2500 0.3907 0.6093
0.2500 0.6093 0.0000
0.7500 0.0000 0.2622
0.7500 0.2622 0.7378
0.7500 0.7378 0.0000
0.2500 0.0000 0.7378
0.2500 0.7378 0.2622
0.2500 0.2622 0.0000
```

Total moment: 0.0 μB/f.u.
Fermi-level density of states: 11.12 states/eV per cell
Formation energy: -3.4 eV/f.u.

---

The following is a PBE-GGA calculation of Pr2Ga2Sn after structural relaxation, from the Alexandria database.

Structure (POSCAR):
```
Pr2Ga2Sn
1.0
-0.7797 -3.9980 -1.9021
-2.5309 -3.9747 4.0794
-9.8770 0.9548 -3.2705
Pr Ga Sn
4 4 2
Direct
0.7065 0.2409 0.3462
0.8999 0.2935 0.9068
0.2935 0.7591 0.6538
0.1001 0.7065 0.0932
0.9954 0.4001 0.6090
0.6273 0.8515 0.8939
0.0046 0.5999 0.3910
0.3727 0.1485 0.1061
0.5794 0.1625 0.6788
0.4206 0.8375 0.3212
```

Total moment: 0.0 μB/f.u.
Fermi-level density of states: 5.97 states/eV per cell
Formation energy: -3.1 eV/f.u.

---

The following is a PBE-GGA calculation of ThCuBi2 after structural relaxation, from the Alexandria database.

Structure (POSCAR):
```
ThCuBi2
1.0
-1.5407 -4.0690 -0.5911
1.4238 0.1436 -4.6995
4.3743 -1.8406 1.2690
Cu Bi Th
1 2 1
Direct
0.5000 0.0000 0.0000
0.0000 0.0000 0.5000
0.0000 0.5000 0.0000
0.5000 0.5000 0.5000
```

Total moment: 0.0 μB/f.u.
Fermi-level density of states: 2.10 states/eV per cell
Formation energy: -0.8 eV/f.u.

---

The following is a PBE-GGA calculation of Tb6Er2Pu after structural relaxation, from the Alexandria database.

Structure (POSCAR):
```
Tb6Er2Pu
1.0
-1.0523 -2.1738 2.5386
2.4801 -7.4310 -2.9340
8.3851 3.7943 4.3435
Tb Er Pu
6 2 1
Direct
0.3908 0.1627 0.9438
0.6092 0.8373 0.0562
0.0399 0.1795 0.2623
0.2216 0.1681 0.6100
0.9601 0.8205 0.7377
0.7784 0.8319 0.3900
0.6815 0.4770 0.8380
0.3185 0.5230 0.1620
0.5000 0.5000 0.5000
```

Total moment: 6.5 μB/f.u.
Fermi-level density of states: 16.54 states/eV per cell
Formation energy: 0.6 eV/f.u.

---

The following is a PBE-GGA calculation of Dy3Tm7Th after structural relaxation, from the Alexandria database.

Structure (POSCAR):
```
Dy3Tm7Th
1.0
-3.8184 3.8608 0.1091
-6.1366 -5.9278 -5.0095
3.0610 -4.7997 6.6733
Dy Tm Th
3 7 1
Direct
0.2816 0.0027 0.7818
0.0000 0.5000 0.0000
0.7184 0.9973 0.2182
0.9105 0.8301 0.9105
0.8645 0.7094 0.3646
0.6743 0.3595 0.1744
0.3257 0.6405 0.8256
0.5000 0.0000 0.5000
0.1355 0.2906 0.6354
0.0895 0.1699 0.0895
0.5000 0.5000 0.5000
```

Total moment: 0.0 μB/f.u.
Fermi-level density of states: 17.42 states/eV per cell
Energy above the most stable polymorph in this dataset: 0 meV/atom
Formation energy: 1.7 eV/f.u.

---

The following is a PBE-GGA calculation of CsSrTeN2 after structural relaxation, from the Alexandria database.

Structure (POSCAR):
```
CsSrTeN2
1.0
-5.3287 0.1175 -0.5333
-0.5378 -0.2180 5.3250
0.1161 6.5345 0.2792
Cs Sr Te N
1 1 1 2
Direct
0.5000 0.5000 0.5000
0.0000 0.0000 0.0000
0.0000 0.0000 0.5000
0.0000 0.5000 0.0000
0.5000 0.0000 0.0000
```

Total moment: 5.0 μB/f.u.
ΔE_f (raw): 0.770 eV per atom
Fermi-level density of states: 3.97 states/eV per cell
Energy above the most stable polymorph in this dataset: 0 meV/atom

---

The following is a PBE-GGA calculation of Th6Co2OsC3 after structural relaxation, from the Alexandria database.

Structure (POSCAR):
```
Th6Co2OsC3
1.0
-0.6179 -0.9565 -3.6628
5.9209 -5.2857 0.3815
-6.8993 -3.6847 4.1345
Th Co Os C
6 2 1 3
Direct
0.3281 0.9314 0.6561
0.6662 0.5859 0.3325
0.6719 0.0686 0.3439
0.9916 0.2654 0.9833
0.0084 0.7346 0.0167
0.3338 0.4141 0.6675
0.8358 0.6764 0.6716
0.1642 0.3236 0.3284
0.5000 0.0000 0.0000
0.5000 0.5000 0.0000
0.8322 0.1741 0.6644
0.1678 0.8259 0.3356
```

Total moment: 0.0 μB/f.u.
Fermi-level density of states: 7.28 states/eV per cell
Formation energy: -1.6 eV/f.u.

---

The following is a PBE-GGA calculation of TaSbBr2 after structural relaxation, from the Alexandria database.

Structure (POSCAR):
```
TaSbBr2
1.0
-1.3951 0.2074 2.8167
2.4651 -1.4416 1.3271
4.5525 9.2348 1.5750
Sb Br Ta
1 2 1
Direct
0.5000 0.5000 0.2500
0.0000 0.0000 0.9087
0.0000 0.0000 0.5913
0.5000 0.5000 0.7500
```

Total moment: 0.0 μB/f.u.
ΔE_f (raw): 0.077 eV per atom
Fermi-level density of states: 1.32 states/eV per cell
Energy above the most stable polymorph in this dataset: 401 meV/atom

---

The following is a PBE-GGA calculation of Tl2CdBiS4 after structural relaxation, from the Alexandria database.

Structure (POSCAR):
```
Tl2CdBiS4
1.0
-1.1759 3.9143 -7.2103
-6.0081 -5.3834 -1.9013
-0.3455 4.2322 7.0974
Tl Cd Bi S
4 2 2 8
Direct
0.5000 0.0000 0.0000
0.5000 0.0000 0.5000
0.0000 0.0000 0.5000
0.5000 0.5000 0.0000
0.5000 0.5000 0.5000
0.0000 0.0000 0.0000
0.0000 0.5000 0.0000
0.0000 0.5000 0.5000
0.2230 0.7451 0.9840
0.7549 0.2770 0.5160
0.2451 0.7230 0.4840
0.7770 0.2549 0.0160
0.7589 0.7413 0.9741
0.7587 0.7411 0.5259
0.2413 0.2589 0.4741
0.2411 0.2587 0.0259
```

Total moment: 0.0 μB/f.u.
ΔE_f (raw): -0.356 eV per atom
Fermi-level density of states: 5.69 states/eV per cell

---

The following is a PBE-GGA calculation of Th6Ge2AsSe3 after structural relaxation, from the Alexandria database.

Structure (POSCAR):
```
Th6Ge2AsSe3
1.0
-2.5525 0.2547 -3.4340
0.3581 -8.3980 -0.8889
-6.0432 0.9820 7.2398
Th Ge As Se
6 2 1 3
Direct
0.3349 0.9121 0.6699
0.6688 0.5787 0.3376
0.6651 0.0879 0.3301
0.0015 0.2465 0.0029
0.9985 0.7535 0.9971
0.3312 0.4213 0.6624
0.8340 0.6677 0.6680
0.1660 0.3323 0.3320
0.5000 0.0000 0.0000
0.5000 0.5000 0.0000
0.8328 0.1665 0.6656
0.1672 0.8335 0.3344
```

Total moment: 0.0 μB/f.u.
ΔE_f (raw): -1.312 eV per atom
Fermi-level density of states: 8.52 states/eV per cell

---

The following is a PBE-GGA calculation of Ni2Te4I after structural relaxation, from the Alexandria database.

Structure (POSCAR):
```
Ni2Te4I
1.0
-7.0548 -1.4708 -0.3881
1.6258 -6.3027 3.1542
0.1938 8.1809 5.7458
Ni Te I
4 8 2
Direct
0.5690 0.3623 0.6719
0.6909 0.8966 0.3284
0.6903 0.3853 0.3333
0.0520 0.3567 0.6664
0.9477 0.1801 0.3647
0.4542 0.5480 0.2133
0.8156 0.5828 0.6351
0.7799 0.0882 0.6253
0.4632 0.1545 0.3749
0.3350 0.2420 0.7877
0.3658 0.6328 0.7995
0.8338 0.5662 0.2005
0.2508 0.7512 0.5011
0.0019 0.0032 0.9979
```

Total moment: 0.0 μB/f.u.
ΔE_f (raw): -0.103 eV per atom
Fermi-level density of states: 1.20 states/eV per cell
Energy above the most stable polymorph in this dataset: 89 meV/atom

---

The following is a PBE-GGA calculation of LaNdAgAu after structural relaxation, from the Alexandria database.

Structure (POSCAR):
```
LaNdAgAu
1.0
5.3280 0.0000 0.0000
2.6640 4.6142 0.0000
2.6640 1.5381 4.3503
Nd Au Ag La
1 1 1 1
Direct
0.2500 0.2500 0.2500
0.5000 0.5000 0.5000
0.0000 0.0000 0.0000
0.7500 0.7500 0.7500
```

Total moment: 0.0 μB/f.u.
Fermi-level density of states: 3.91 states/eV per cell
Energy above the most stable polymorph in this dataset: 17 meV/atom
Formation energy: -2.0 eV/f.u.

---

The following is a PBE-GGA calculation of Rb2SbIBr6 after structural relaxation, from the Alexandria database.

Structure (POSCAR):
```
Rb2SbIBr6
1.0
7.7047 0.0000 0.0000
3.8524 6.6725 0.0000
3.8524 2.2242 18.2731
Rb Sb I Br
4 2 2 12
Direct
0.8582 0.8582 0.4254
0.1418 0.1418 0.5746
0.6910 0.6910 0.9271
0.3090 0.3090 0.0729
0.0000 0.0000 0.0000
0.5000 0.5000 0.5000
0.5932 0.5932 0.2205
0.4068 0.4068 0.7795
0.8634 0.3602 0.4162
0.3602 0.8634 0.4162
0.3602 0.3602 0.4162
0.1366 0.6398 0.5838
0.6398 0.1366 0.5838
0.6398 0.6398 0.5838
0.7053 0.1912 0.9123
0.1912 0.7053 0.9123
0.1912 0.1912 0.9123
0.2947 0.8088 0.0877
0.8088 0.2947 0.0877
0.8088 0.8088 0.0877
```

Total moment: 0.5 μB/f.u.
ΔE_f (raw): -0.881 eV per atom
Fermi-level density of states: 12.51 states/eV per cell
Energy above the most stable polymorph in this dataset: 13 meV/atom

---

The following is a PBE-GGA calculation of Be2NiCl after structural relaxation, from the Alexandria database.

Structure (POSCAR):
```
Be2NiCl
1.0
3.8413 0.2607 -0.1911
2.5595 2.8762 -0.1911
-2.7322 -1.3390 5.7496
Ni Be Cl
1 2 1
Direct
0.7500 0.7500 0.7500
0.1082 0.1082 0.8940
0.3918 0.3918 0.6060
0.2500 0.2500 0.2500
```

Total moment: 0.0 μB/f.u.
ΔE_f (raw): -0.018 eV per atom
Fermi-level density of states: 0.93 states/eV per cell
Energy above the most stable polymorph in this dataset: 114 meV/atom

---

The following is a PBE-GGA calculation of AcTbPr5Y2 after structural relaxation, from the Alexandria database.

Structure (POSCAR):
```
AcTbPr5Y2
1.0
-4.6045 0.5054 3.6498
-3.2079 -0.3347 -8.7651
-0.7580 -12.3025 0.7472
Ac Tb Pr Y
2 2 10 4
Direct
0.6163 0.2325 0.9226
0.3837 0.7675 0.4226
0.7472 0.4943 0.4239
0.2528 0.5057 0.9239
0.4212 0.8424 0.0873
0.7678 0.5356 0.7193
0.4232 0.8463 0.7679
0.2321 0.4643 0.6299
0.9378 0.8756 0.5710
0.5788 0.1576 0.5873
0.2322 0.4644 0.2193
0.5768 0.1537 0.2679
0.7679 0.5357 0.1299
0.0622 0.1244 0.0710
0.8873 0.7747 0.9250
0.0625 0.1249 0.7771
0.1127 0.2253 0.4250
0.9375 0.8751 0.2771
```

Total moment: 0.0 μB/f.u.
Fermi-level density of states: 27.77 states/eV per cell
Formation energy: 0.7 eV/f.u.

---

The following is a PBE-GGA calculation of VRe2BW after structural relaxation, from the Alexandria database.

Structure (POSCAR):
```
VRe2BW
1.0
4.1026 0.0000 0.0000
0.0000 4.1733 0.0000
0.0000 0.0000 4.1026
Re B W V
2 1 1 1
Direct
0.0000 0.0000 0.5000
0.5000 0.0000 0.0000
0.0000 0.0000 0.0000
0.0000 0.5000 0.0000
0.5000 0.5000 0.5000
```

Total moment: 0.0 μB/f.u.
Fermi-level density of states: 5.56 states/eV per cell
Formation energy: 1.1 eV/f.u.

---

The following is a PBE-GGA calculation of CaNiP after structural relaxation, from the Alexandria database.

Structure (POSCAR):
```
CaNiP
1.0
4.5012 0.0000 0.0000
2.2506 3.8982 0.0000
2.2506 1.2994 3.6752
Ca Ni P
1 1 1
Direct
0.7500 0.7500 0.7500
0.0000 0.0000 0.0000
0.5000 0.5000 0.5000
```

Total moment: 0.7 μB/f.u.
Fermi-level density of states: 2.62 states/eV per cell
Formation energy: 1.0 eV/f.u.

---

The following is a PBE-GGA calculation of AcLa2H8 after structural relaxation, from the Alexandria database.

Structure (POSCAR):
```
AcLa2H8
1.0
-2.0347 -2.6526 -2.2359
4.5686 -0.9796 -2.9952
0.2935 -2.6064 6.4422
Ac La H
1 2 8
Direct
0.5000 0.0000 0.0000
0.1705 0.6705 0.3410
0.8295 0.3295 0.6590
0.6653 0.8998 0.3307
0.3347 0.5692 0.6693
0.1591 0.1591 0.3182
0.0000 0.2814 0.0000
0.8409 0.8409 0.6818
0.6653 0.4308 0.3307
0.3347 0.1002 0.6693
0.0000 0.7186 0.0000
```

Total moment: 0.0 μB/f.u.
Fermi-level density of states: 1.81 states/eV per cell
Calculated total energy: -4.31 eV/atom